No. 1
A plane-wave DFT calculation with PBE was carried out for a geometry-optimized Ti6PtRh structure.

a = 5.496 Å, b = 5.496 Å, c = 4.305 Å
α = 90.00°, β = 90.00°, γ = 96.32°
Fractional positions:
Ti (0.000, 0.500, 0.500)
Ti (0.212, 0.788, 0.000)
Ti (0.295, 0.295, 0.000)
Ti (0.500, 0.000, 0.500)
Ti (0.705, 0.705, 0.000)
Ti (0.788, 0.212, 0.000)
Pt (0.000, 0.000, 0.500)
Rh (0.500, 0.500, 0.500)

Results
**Energy above the most stable polymorph in this dataset**: 0 meV per atom

***

No. 2
A plane-wave DFT calculation with PBE was carried out for a geometry-optimized Dy5S7 structure.

a = 6.706 Å, b = 6.706 Å, c = 11.613 Å
α = 104.00°, β = 104.00°, γ = 32.99°
Fractional positions:
Dy (0.000, 0.000, 0.000)
Dy (0.112, 0.112, 0.421)
Dy (0.300, 0.300, 0.188)
Dy (0.700, 0.700, 0.812)
Dy (0.888, 0.888, 0.579)
S (0.042, 0.042, 0.785)
S (0.259, 0.259, 0.648)
S (0.341, 0.341, 0.949)
S (0.500, 0.500, 0.500)
S (0.659, 0.659, 0.051)
S (0.741, 0.741, 0.352)
S (0.958, 0.958, 0.215)

Results
**Energy**: -76.81 eV per formula unit

***

No. 3
A plane-wave DFT calculation with PBE was carried out for a geometry-optimized Sm2Th3Sn3 structure.

a = 9.346 Å, b = 9.346 Å, c = 6.447 Å
α = 90.00°, β = 90.00°, γ = 120.00°
Fractional positions:
Sm (0.333, 0.667, 0.000)
Sm (0.333, 0.667, 0.500)
Sm (0.667, 0.333, 0.000)
Sm (0.667, 0.333, 0.500)
Th (0.000, 0.244, 0.250)
Th (0.000, 0.756, 0.750)
Th (0.244, 0.000, 0.250)
Th (0.244, 0.244, 0.750)
Th (0.756, 0.000, 0.750)
Th (0.756, 0.756, 0.250)
Sn (0.000, 0.395, 0.750)
Sn (0.000, 0.605, 0.250)
Sn (0.395, 0.000, 0.750)
Sn (0.395, 0.395, 0.250)
Sn (0.605, 0.000, 0.250)
Sn (0.605, 0.605, 0.750)

Results
**Energy**: -48.07 eV per formula unit

***

No. 4
A plane-wave DFT calculation with PBE was carried out for a geometry-optimized P2Ru2SeN structure.

a = 4.393 Å, b = 5.073 Å, c = 5.132 Å
α = 67.20°, β = 80.64°, γ = 79.55°
Fractional positions:
P (0.000, 0.000, 0.000)
P (0.315, 0.039, 0.518)
Ru (0.222, 0.417, 0.665)
Ru (0.477, 0.910, 0.162)
Se (0.748, 0.456, 0.423)
N (0.156, 0.784, 0.795)

Results
**Energy above the most stable polymorph in this dataset**: 236 meV per atom